(1)
The following is a PBE-GGA calculation of a relaxed Tb2HoTm2Sc crystal, from Alexandria via LeMat-Bulk.

Output
* total DFT energy (no corrections): -57.1 eV/cell
* mass density: 8039 kg/m3
* energy of formation: 0.10 eV/atom
* space-group type: No. 58
* DOS(E_F): 23.869 states/eV per cell
* crystal system: orthorhombic
* total moment: 0.004 μB per cell

abc: 5.489 9.492 6.863
angles: 90.00 90.00 90.00
Fractional coordinates of all 12 atoms:
Tb 0.500 0.833 0.247
Tb 0.500 0.167 0.753
Tb 0.000 0.667 0.747
Tb 0.000 0.333 0.253
Ho 0.500 0.500 0.000
Ho 0.000 0.000 0.500
Tm 0.500 0.167 0.249
Tm 0.000 0.667 0.251
Tm 0.500 0.833 0.751
Tm 0.000 0.333 0.749
Sc 0.000 0.000 0.000
Sc 0.500 0.500 0.500

(2)
The following is a PBE-GGA calculation of a relaxed TbHoTmSc crystal, from Alexandria via LeMat-Bulk.

Output
* total DFT energy (no corrections): -19.5 eV/cell
* mass density: 7560 kg/m3
* energy of formation: 0.12 eV/atom
* space-group type: No. 216
* DOS(E_F): 7.291 states/eV per cell
* offset from the most stable computed form: 76 meV/atom
* crystal system: cubic
* total moment: 0.000 μB per cell

abc: 5.507 5.507 5.507
angles: 60.00 60.00 60.00
Fractional coordinates of all 4 atoms:
Sc 0.250 0.250 0.250
Tm 0.750 0.750 0.750
Tb 0.500 0.500 0.500
Ho 0.000 0.000 0.000

(3)
The following is a PBE-GGA calculation of a relaxed Tb6HoTm2Sc crystal, from Alexandria via LeMat-Bulk.

Output
* total DFT energy (no corrections): -92.7 eV/cell
* mass density: 8017 kg/m3
* energy of formation: 0.13 eV/atom
* space-group type: No. 15
* DOS(E_F): 27.106 states/eV per cell
* crystal system: monoclinic
* total moment: 0.000 μB per cell

abc: 9.367 8.675 8.675
angles: 117.23 93.70 93.70
Fractional coordinates of all 20 atoms:
Tb 0.054 0.124 0.756
Tb 0.446 0.244 0.876
Tb 0.946 0.876 0.244
Tb 0.554 0.756 0.124
Tb 0.311 0.995 0.437
Tb 0.189 0.563 0.005
Tb 0.689 0.005 0.563
Tb 0.811 0.437 0.995
Tb 0.116 0.707 0.493
Tb 0.384 0.507 0.293
Tb 0.884 0.293 0.507
Tb 0.616 0.493 0.707
Ho 0.250 0.976 0.024
Ho 0.750 0.024 0.976
Tm 0.453 0.798 0.696
Tm 0.047 0.304 0.202
Tm 0.547 0.202 0.304
Tm 0.953 0.696 0.798
Sc 0.250 0.414 0.586
Sc 0.750 0.586 0.414

(4)
The following is a PBE-GGA calculation of a relaxed TbHoTm2Sc2 crystal, from Alexandria via LeMat-Bulk.

Output
* total DFT energy (no corrections): -60.7 eV/cell
* mass density: 7278 kg/m3
* energy of formation: 0.08 eV/atom
* space-group type: No. 58
* DOS(E_F): 23.243 states/eV per cell
* crystal system: orthorhombic
* total moment: 0.009 μB per cell

abc: 5.426 9.378 6.740
angles: 90.00 90.00 90.00
Fractional coordinates of all 12 atoms:
Tb 0.500 0.500 0.000
Tb 0.000 0.000 0.500
Ho 0.000 0.000 0.000
Ho 0.500 0.500 0.500
Tm 0.500 0.834 0.249
Tm 0.500 0.166 0.751
Tm 0.000 0.666 0.749
Tm 0.000 0.334 0.251
Sc 0.500 0.167 0.250
Sc 0.000 0.667 0.250
Sc 0.500 0.833 0.750
Sc 0.000 0.333 0.750

(5)
The following is a PBE-GGA calculation of a relaxed Tb2Ho2TmSc2 crystal, from Alexandria via LeMat-Bulk.

Output
* total DFT energy (no corrections): -34.8 eV/cell
* mass density: 7247 kg/m3
* energy of formation: 0.11 eV/atom
* space-group type: No. 12
* DOS(E_F): 12.451 states/eV per cell
* crystal system: monoclinic
* total moment: 0.000 μB per cell

abc: 3.404 5.877 11.471
angles: 71.86 90.00 106.84
Fractional coordinates of all 7 atoms:
Tb 0.670 0.341 0.912
Tb 0.330 0.659 0.088
Ho 0.452 0.904 0.768
Ho 0.548 0.096 0.232
Tm 0.000 0.000 0.500
Sc 0.772 0.544 0.367
Sc 0.228 0.456 0.633

(6)
The following is a PBE-GGA calculation of a relaxed Tb4Ho2TmSc crystal, from Alexandria via LeMat-Bulk.

Output
* total DFT energy (no corrections): -38.2 eV/cell
* mass density: 8047 kg/m3
* energy of formation: 0.03 eV/atom
* space-group type: No. 123
* DOS(E_F): 11.649 states/eV per cell
* crystal system: tetragonal
* total moment: 0.000 μB per cell

abc: 4.969 4.969 11.038
angles: 63.26 90.00 90.00
Fractional coordinates of all 8 atoms:
Tb 0.000 0.746 0.754
Tb 0.000 0.254 0.246
Tb 0.500 0.754 0.246
Tb 0.500 0.246 0.754
Ho 0.000 0.000 0.000
Ho 0.500 0.000 0.500
Tm 0.000 0.500 0.500
Sc 0.500 0.500 0.000

(7)
The following is a PBE-GGA calculation of a relaxed TbHo2Tm2Sc2 crystal, from Alexandria via LeMat-Bulk.

Output
* total DFT energy (no corrections): -34.3 eV/cell
* mass density: 7281 kg/m3
* energy of formation: 0.16 eV/atom
* space-group type: No. 12
* DOS(E_F): 11.777 states/eV per cell
* crystal system: monoclinic
* total moment: 0.001 μB per cell

abc: 3.392 8.832 8.117
angles: 118.25 90.00 101.07
Fractional coordinates of all 7 atoms:
Tb 0.000 0.000 0.500
Ho 0.650 0.301 0.906
Ho 0.350 0.699 0.094
Tm 0.425 0.849 0.764
Tm 0.575 0.151 0.236
Sc 0.788 0.577 0.379
Sc 0.212 0.423 0.621

(8)
The following is a PBE-GGA calculation of a relaxed Tb2Ho4TmSc crystal, from Alexandria via LeMat-Bulk.

Output
* total DFT energy (no corrections): -38.1 eV/cell
* mass density: 8190 kg/m3
* energy of formation: 0.03 eV/atom
* space-group type: No. 123
* DOS(E_F): 11.490 states/eV per cell
* crystal system: tetragonal
* total moment: 0.000 μB per cell

abc: 4.947 4.948 11.039
angles: 63.38 90.00 90.00
Fractional coordinates of all 8 atoms:
Tb 0.000 0.000 0.000
Tb 0.500 0.000 0.500
Ho 0.000 0.746 0.754
Ho 0.000 0.254 0.246
Ho 0.500 0.754 0.246
Ho 0.500 0.246 0.754
Tm 0.000 0.500 0.500
Sc 0.500 0.500 0.000